VASP calculation (GGA-PBE) on a geometry-optimized ThCd2Ge2 structure.

abc: 4.223 25.503 4.216
angles: 90.00 90.00 90.00
Space group Cmcm (No. 63)
One atom of each set of equivalent atoms:
Th: 0.000 0.158 0.250 x4
Cd: 0.000 0.045 0.750 x4
Cd: 0.000 0.452 0.750 x4
Ge: 0.000 0.250 0.750 x4
Ge: 0.000 0.372 0.250 x4

Its size of the total moment is 0.000 μB per formula unit. The formation energy is -0.32 eV per atom.